# TaTe3

A geometry-optimized TaTe3 structure (GGA-PBE, Alexandria).

The structure in CIF format:
```
data_TaTe3
_space_group_name_H-M_alt 'I m m 2'
_space_group_IT_number 44
_cell_length_a 3.4511
_cell_length_b 12.7474
_cell_length_c 6.3675
_cell_angle_alpha 90.00
_cell_angle_beta 90.00
_cell_angle_gamma 90.00
loop_
_space_group_symop_operation_xyz
'x,y,z'
'-x,-y,z'
'-x,y,z'
'x,-y,z'
'x+1/2,y+1/2,z+1/2'
'-x+1/2,-y+1/2,z+1/2'
'-x+1/2,y+1/2,z+1/2'
'x+1/2,-y+1/2,z+1/2'
loop_
_atom_site_label
_atom_site_fract_x
_atom_site_fract_y
_atom_site_fract_z
_atom_site_occupancy
Ta1 0.0000 0.0000 0.0000 1
Te1 0.0000 0.3508 0.3338 1
Te2 0.0000 0.5000 0.8434 1
```

Summary:
* formation energy without anion corrections: -0.133 eV per atom
* total magnetic moment: 0.00 μB/f.u.

***

# Ta3Te

A geometry-optimized Ta3Te structure (GGA-PBE, Alexandria).

The structure in CIF format:
```
data_Ta3Te
_space_group_name_H-M_alt 'P 63/m m c'
_space_group_IT_number 194
_space_group_name_Hall '-P 6c 2c'
_cell_length_a 5.9381
_cell_length_b 5.9381
_cell_length_c 4.9943
_cell_angle_alpha 90.00
_cell_angle_beta 90.00
_cell_angle_gamma 120.00
loop_
_atom_site_label
_atom_site_fract_x
_atom_site_fract_y
_atom_site_fract_z
_atom_site_occupancy
Ta1 0.1579 0.3157 0.2500 1
Te1 0.3333 0.6667 0.7500 1
```

Summary:
* formation energy without anion corrections: 0.236 eV per atom
* total magnetic moment: 0.00 μB/f.u.

***

# TaTe

A geometry-optimized TaTe structure (GGA-PBE, Alexandria).

The structure in CIF format:
```
data_TaTe
_space_group_name_H-M_alt 'P m m a'
_space_group_IT_number 51
_cell_length_a 4.8014
_cell_length_b 3.4199
_cell_length_c 4.9193
_cell_angle_alpha 90.00
_cell_angle_beta 90.00
_cell_angle_gamma 90.00
loop_
_space_group_symop_operation_xyz
'x,y,z'
'-x,-y,-z'
'-x+1/2,-y,z'
'x+1/2,y,-z'
'x+1/2,-y,-z'
'-x+1/2,y,z'
'-x,y,-z'
'x,-y,z'
loop_
_atom_site_label
_atom_site_fract_x
_atom_site_fract_y
_atom_site_fract_z
_atom_site_occupancy
Ta1 0.2500 0.0000 0.2175 1
Te1 0.2500 0.5000 0.7421 1
```

Summary:
* formation energy without anion corrections: 0.198 eV per atom
* total magnetic moment: 0.00 μB/f.u.

***

# TaTe3

A geometry-optimized TaTe3 structure (GGA-PBE, Alexandria).

The structure in CIF format:
```
data_TaTe3
_space_group_name_H-M_alt 'P 4/m m m'
_space_group_IT_number 123
_space_group_name_Hall '-P 4 2'
_cell_length_a 3.2873
_cell_length_b 3.2873
_cell_length_c 10.8316
_cell_angle_alpha 90.00
_cell_angle_beta 90.00
_cell_angle_gamma 90.00
loop_
_atom_site_label
_atom_site_fract_x
_atom_site_fract_y
_atom_site_fract_z
_atom_site_occupancy
Ta1 0.0000 0.0000 0.0000 1
Te1 0.0000 0.0000 0.5000 1
Te2 0.5000 0.5000 0.1637 1
```

Summary:
* formation energy without anion corrections: -0.020 eV per atom
* total magnetic moment: 0.00 μB/f.u.

***

# Ta3Te5

A geometry-optimized Ta3Te5 structure (GGA-PBE, Alexandria).

The structure in CIF format:
```
data_Ta3Te5
_space_group_name_H-M_alt 'F m m 2'
_space_group_IT_number 42
_space_group_name_Hall 'F 2 -2'
_cell_length_a 15.3065
_cell_length_b 15.3466
_cell_length_c 6.3986
_cell_angle_alpha 90.00
_cell_angle_beta 90.00
_cell_angle_gamma 90.00
loop_
_atom_site_label
_atom_site_fract_x
_atom_site_fract_y
_atom_site_fract_z
_atom_site_occupancy
Ta1 0.0000 0.1959 0.0000 1
Ta2 0.1950 0.0000 0.5000 1
Ta3 0.2500 0.2500 0.3984 1
Te1 0.0001 0.0001 0.4142 1
Te2 0.0000 0.0000 0.9144 1
Te3 0.1141 0.1678 0.6523 1
Te4 0.1675 0.1138 0.1517 1
```

Summary:
* formation energy without anion corrections: 0.180 eV per atom
* total magnetic moment: 0.00 μB/f.u.
* relative energy among the computed polymorphs: 0.00 eV/f.u.

***

# TaTe

A geometry-optimized TaTe structure (GGA-PBE, Alexandria).

The structure in CIF format:
```
data_TaTe
_space_group_name_H-M_alt 'R -3 m'
_space_group_IT_number 166
_space_group_name_Hall '-R 3 2"'
_cell_length_a 3.4398
_cell_length_b 3.4398
_cell_length_c 30.9405
_cell_angle_alpha 90.00
_cell_angle_beta 90.00
_cell_angle_gamma 120.00
loop_
_atom_site_label
_atom_site_fract_x
_atom_site_fract_y
_atom_site_fract_z
_atom_site_occupancy
Ta1 0.0000 0.0000 0.1335 1
Te1 0.0000 0.0000 0.4020 1
```

Summary:
* formation energy without anion corrections: -0.173 eV per atom
* total magnetic moment: 0.00 μB/f.u.

***

Q: Among the records above, which one has the lowest formation energy without anion corrections?
A: number 6

***

Q: What is the formation energy without anion corrections in the third record?
A: 0.198 eV per atom

***

Repeat the second record exactly.
# Ta3Te

A geometry-optimized Ta3Te structure (GGA-PBE, Alexandria).

The structure in CIF format:
```
data_Ta3Te
_space_group_name_H-M_alt 'P 63/m m c'
_space_group_IT_number 194
_space_group_name_Hall '-P 6c 2c'
_cell_length_a 5.9381
_cell_length_b 5.9381
_cell_length_c 4.9943
_cell_angle_alpha 90.00
_cell_angle_beta 90.00
_cell_angle_gamma 120.00
loop_
_atom_site_label
_atom_site_fract_x
_atom_site_fract_y
_atom_site_fract_z
_atom_site_occupancy
Ta1 0.1579 0.3157 0.2500 1
Te1 0.3333 0.6667 0.7500 1
```

Summary:
* formation energy without anion corrections: 0.236 eV per atom
* total magnetic moment: 0.00 μB/f.u.